Density functional theory data (PBE) for a geometry-optimized ErTmCo structure.

Values from the calculation:
- Energy above the lowest structure with this stoichiometry: 0.097 eV/atom
- Electronic total energy: -0.400 Ry/atom
- SG: P3m1, No. 156
- Calculated formation energy: -0.07 eV/atom
- Mass density: 8.53 g/cm3
- Calculated volume: 25.6 Å³/atom

Cell: 3.808 3.808 6.123 Å, 90.00 90.00 120.00°
Positions (direct):
1 Co 0.667 0.333 0.333
2 Er 0.333 0.667 0.567
3 Tm 0.000 0.000 0.100